1.
# Mg8ZnGa2

A relaxed Mg8ZnGa2 crystal (PBE-GGA, Alexandria via LeMat-Bulk).

The calculation puts the formation energy at -0.0646 eV per atom. The space-group type is No. 71.

abc: 4.713 6.980 8.085
angles: 115.57 106.94 90.00
Element x y z (fractional)
Mg 0.166 0.166 0.332
Mg 0.000 0.279 0.000
Mg 0.649 0.422 0.299
Mg 0.649 0.877 0.299
Mg 0.000 0.721 0.000
Mg 0.834 0.834 0.668
Mg 0.351 0.123 0.701
Mg 0.351 0.578 0.701
Ga 0.183 0.683 0.366
Ga 0.817 0.317 0.634
Zn 0.500 0.000 0.000



2.
# MgZn7Ga12

A relaxed MgZn7Ga12 crystal (PBE-GGA, Alexandria via LeMat-Bulk).

The calculation puts the formation energy at 0.0303 eV per atom. The space-group type is No. 148.

abc: 7.386 7.386 7.386
angles: 103.54 103.54 103.54
Element x y z (fractional)
Ga 0.666 0.969 0.148
Ga 0.852 0.334 0.031
Ga 0.191 0.641 0.592
Ga 0.641 0.592 0.191
Ga 0.334 0.031 0.852
Ga 0.359 0.408 0.809
Ga 0.148 0.666 0.969
Ga 0.809 0.359 0.408
Ga 0.408 0.809 0.359
Ga 0.969 0.148 0.666
Ga 0.592 0.191 0.641
Ga 0.031 0.852 0.334
Zn 0.599 0.869 0.754
Zn 0.246 0.401 0.131
Zn 0.869 0.754 0.599
Zn 0.500 0.500 0.500
Zn 0.754 0.599 0.869
Zn 0.131 0.246 0.401
Zn 0.401 0.131 0.246
Mg 0.000 0.000 0.000



3.
# Mg2Zn3Ga

A relaxed Mg2Zn3Ga crystal (PBE-GGA, Alexandria via LeMat-Bulk).

The calculation puts the formation energy at -0.0993 eV per atom. The space-group type is No. 8.

abc: 4.304 5.452 5.446
angles: 74.59 66.72 66.75
Element x y z (fractional)
Ga 0.163 0.385 0.290
Zn 0.835 0.618 0.712
Zn 0.164 0.791 0.881
Zn 0.839 0.206 0.116
Mg 0.547 0.201 0.705
Mg 0.452 0.799 0.297



4.
# Mg3ZnGa

A relaxed Mg3ZnGa crystal (PBE-GGA, Alexandria via LeMat-Bulk).

The calculation puts the formation energy at -0.0883 eV per atom. The space-group type is No. 12.

abc: 4.437 5.391 9.702
angles: 106.18 90.00 114.30
Element x y z (fractional)
Mg 0.906 0.813 0.599
Mg 0.599 0.198 0.901
Mg 0.401 0.802 0.099
Mg 0.747 0.495 0.256
Mg 0.094 0.187 0.401
Mg 0.253 0.505 0.744
Ga 0.113 0.226 0.112
Ga 0.887 0.774 0.888
Zn 0.390 0.779 0.393
Zn 0.610 0.221 0.607



5.
# Mg2ZnGa2

A relaxed Mg2ZnGa2 crystal (PBE-GGA, Alexandria via LeMat-Bulk).

The calculation puts the formation energy at 0.0415 eV per atom. The space-group type is No. 127.

abc: 7.879 7.879 3.306
angles: 90.00 90.00 90.00
Element x y z (fractional)
Zn 0.500 0.500 0.000
Zn 0.000 0.000 0.000
Mg 0.679 0.179 0.000
Mg 0.179 0.321 0.000
Mg 0.321 0.821 0.000
Mg 0.821 0.679 0.000
Ga 0.620 0.880 0.500
Ga 0.880 0.380 0.500
Ga 0.380 0.120 0.500
Ga 0.120 0.620 0.500



6.
# Mg2Zn2Ga7

A relaxed Mg2Zn2Ga7 crystal (PBE-GGA, Alexandria via LeMat-Bulk).

The calculation puts the formation energy at -0.0157 eV per atom. The space-group type is No. 12.

abc: 8.080 8.349 8.080
angles: 38.25 130.77 141.75
Element x y z (fractional)
Zn 0.307 0.500 0.307
Zn 0.693 0.500 0.693
Ga 0.000 0.000 0.000
Ga 0.464 0.163 0.536
Ga 0.428 0.614 0.981
Ga 0.019 0.614 0.572
Ga 0.536 0.837 0.464
Ga 0.981 0.386 0.428
Ga 0.572 0.386 0.019
Mg 0.149 0.913 0.851
Mg 0.851 0.087 0.149



7.
# MgZn2Ga2

A relaxed MgZn2Ga2 crystal (PBE-GGA, Alexandria via LeMat-Bulk).

The calculation puts the formation energy at -0.0359 eV per atom. The space-group type is No. 139.

abc: 3.909 3.909 6.557
angles: 72.66 72.66 90.00
Element x y z (fractional)
Zn 0.398 0.398 0.203
Zn 0.602 0.602 0.797
Ga 0.250 0.750 0.500
Ga 0.750 0.250 0.500
Mg 0.000 0.000 0.000



8.
# MgZn6Ga2

A relaxed MgZn6Ga2 crystal (PBE-GGA, Alexandria via LeMat-Bulk).

The calculation puts the formation energy at 0.0149 eV per atom. The space-group type is No. 71.

abc: 3.172 7.610 7.610
angles: 59.93 77.97 77.97
Element x y z (fractional)
Zn 0.000 0.825 0.175
Zn 0.000 0.175 0.825
Zn 0.824 0.849 0.504
Zn 0.176 0.151 0.496
Zn 0.824 0.504 0.849
Zn 0.176 0.496 0.151
Ga 0.357 0.143 0.143
Ga 0.643 0.857 0.857
Mg 0.500 0.500 0.500